No. 1
RbCuAgSe2 | PBE-GGA | relaxed

```
data_RbCuAgSe2
_chemical_formula_sum 'Rb4 Cu4 Ag4 Se8'
_cell_length_a 6.005
_cell_length_b 12.735
_cell_length_c 7.251
_cell_angle_alpha 90.00
_cell_angle_beta 90.00
_cell_angle_gamma 90.00
_space_group_name_H-M_alt 'C m m e'
_space_group_IT_number 67
_space_group_name_Hall '-C 2a 2'
loop_
_atom_site_label
_atom_site_type_symbol
_atom_site_fract_x
_atom_site_fract_y
_atom_site_fract_z
Rb1 Rb 0.000 0.250 0.227
Cu1 Cu 0.250 0.000 0.000
Ag1 Ag 0.000 0.000 0.500
Se1 Se 0.000 0.100 0.800
```

Summary:
**Total DFT energy (no corrections)**: -3.42 eV/atom
**ρ**: 4.97 g/cm³


No. 2
Pr2Pd5Pt5 | PBE-GGA | relaxed

```
data_Pr2Pd5Pt5
_chemical_formula_sum 'Pr2 Pd5 Pt5'
_cell_length_a 4.452
_cell_length_b 5.423
_cell_length_c 9.365
_cell_angle_alpha 90.00
_cell_angle_beta 90.00
_cell_angle_gamma 90.00
_space_group_name_H-M_alt 'P m m m'
_space_group_IT_number 47
_space_group_name_Hall '-P 2 2'
loop_
_atom_site_label
_atom_site_type_symbol
_atom_site_fract_x
_atom_site_fract_y
_atom_site_fract_z
Pr1 Pr 0.000 0.000 0.000
Pr2 Pr 0.000 0.500 0.500
Pd1 Pd 0.500 0.000 0.500
Pd2 Pd 0.500 0.249 0.250
Pt1 Pt 0.000 0.000 0.334
Pt2 Pt 0.000 0.500 0.165
Pt3 Pt 0.500 0.500 0.000
```

Summary:
**ΔE to the lowest computed polymorph**: 36 meV per atom
**Total DFT energy (no corrections)**: -6.09 eV/atom
**Calculated formation energy**: -0.609 eV per atom
**ρ**: 13.14 g/cm³


No. 3
Rb2MnCr | PBE-GGA | relaxed

```
data_Rb2MnCr
_chemical_formula_sum 'Rb8 Mn4 Cr4'
_cell_length_a 8.793
_cell_length_b 8.793
_cell_length_c 8.793
_cell_angle_alpha 90.00
_cell_angle_beta 90.00
_cell_angle_gamma 90.00
_space_group_name_H-M_alt 'F m -3 m'
_space_group_IT_number 225
_space_group_name_Hall '-F 4 2 3'
loop_
_atom_site_label
_atom_site_type_symbol
_atom_site_fract_x
_atom_site_fract_y
_atom_site_fract_z
Rb1 Rb 0.250 0.250 0.250
Mn1 Mn 0.000 0.000 0.000
Cr1 Cr 0.000 0.000 0.500
```

Summary:
**Total DFT energy (no corrections)**: -3.91 eV/atom
**Calculated formation energy**: 1.268 eV per atom
**ρ**: 2.71 g/cm³